(1)
CsRb4Hg2 (PBE-GGA, relaxed); formation energy from the elements = 0.081 eV/atom; energy above the lowest structure with this stoichiometry = 1.48 eV per formula unit; D(E_F) = 6.67 states/eV per cell
1.0
-3.8642 3.8642 9.7937
3.8642 -3.8642 9.7937
3.8642 3.8642 -9.7937
Cs Rb Hg
1 4 2
Direct
0.0000 0.0000 0.0000
0.0000 0.5000 0.5000
0.2464 0.2464 0.0000
0.5000 0.0000 0.5000
0.7536 0.7536 0.0000
0.4254 0.4254 0.0000
0.5746 0.5746 0.0000


(2)
KMnOs2 (PBE-GGA, relaxed); formation energy from the elements = 1.597 eV/atom; energy above the lowest structure with this stoichiometry = 3.52 eV per formula unit; D(E_F) = 4.71 states/eV per cell
1.0
-1.9085 1.9085 4.8052
1.9085 -1.9085 4.8052
1.9085 1.9085 -4.8052
K Mn Os
1 1 2
Direct
0.0000 0.0000 0.0000
0.5000 0.5000 0.0000
0.2500 0.7500 0.5000
0.7500 0.2500 0.5000


(3)
RbLi2CdGe (PBE-GGA, relaxed); formation energy from the elements = -0.091 eV/atom; energy above the lowest structure with this stoichiometry = 0.00 eV per formula unit; D(E_F) = 1.84 states/eV per cell
1.0
5.2098 0.0000 0.0000
0.0000 5.2098 0.0000
0.0000 0.0000 5.4221
Rb Li Cd Ge
1 2 1 1
Direct
0.0000 0.0000 0.0000
0.0000 0.5000 0.5000
0.5000 0.0000 0.5000
0.5000 0.5000 0.0000
0.5000 0.5000 0.5000


(4)
SrCa2GeP (PBE-GGA, relaxed); formation energy from the elements = -0.595 eV/atom; D(E_F) = 3.41 states/eV per cell
1.0
5.3162 0.0000 0.0000
0.0000 5.3162 0.0000
0.0000 0.0000 6.2461
Sr Ca Ge P
1 2 1 1
Direct
0.0000 0.0000 0.0000
0.0000 0.5000 0.4223
0.5000 0.0000 0.4223
0.5000 0.5000 0.1407
0.0000 0.0000 0.5323


Number 1 is which compound?
CsRb4Hg2


Look up the D(E_F) of the first one.
6.67 states/eV per cell